# 1
## Mo2PBr (PBEsol)

Data for Mo2PBr after structural relaxation.

Cell and atoms, written as CIF:
```
data_Mo2PBr
_chemical_formula_sum 'Mo2 P1 Br1'
_space_group_name_H-M_alt 'P 1'
_space_group_IT_number 1
_cell_length_a 2.9026
_cell_length_b 4.0276
_cell_length_c 5.5694
_cell_angle_alpha 90.00
_cell_angle_beta 90.00
_cell_angle_gamma 90.00
loop_
_space_group_symop_operation_xyz
'x,y,z'
loop_
_atom_site_label
_atom_site_fract_x
_atom_site_fract_y
_atom_site_fract_z
Mo1 0.0000 0.0000 0.0000
Mo2 0.5000 0.5000 0.2622
P1 0.0000 0.0000 0.4088
Br1 0.5000 0.5000 0.8091
```

* formation energy without anion corrections: 0.2403 eV per atom
* spin magnetization: 0.00 μB per cell
* space-group type: Pmm2
* D(E_F): 0.7536 states/eV per atom
* E_tot: -30.2 eV for the cell shown

***

# 2
## La2CrTc (PBEsol)

Data for La2CrTc after structural relaxation.

Cell and atoms, written as CIF:
```
data_La2CrTc
_chemical_formula_sum 'La2 Cr1 Tc1'
_space_group_name_H-M_alt 'P 1'
_space_group_IT_number 1
_cell_length_a 5.0508
_cell_length_b 5.0508
_cell_length_c 5.0508
_cell_angle_alpha 60.00
_cell_angle_beta 60.00
_cell_angle_gamma 60.00
loop_
_space_group_symop_operation_xyz
'x,y,z'
loop_
_atom_site_label
_atom_site_fract_x
_atom_site_fract_y
_atom_site_fract_z
La1 0.2500 0.2500 0.2500
La2 0.7500 0.7500 0.7500
Cr1 0.0000 0.0000 0.0000
Tc1 0.5000 0.5000 0.5000
```

* spin magnetization: 4.20 μB per cell
* relative energy among the computed polymorphs: 176 meV per atom
* ΔH_f (0 K): 2.04 eV/f.u.
* space-group type: Fm-3m
* D(E_F): 0.8932 states/eV per atom
* E_tot: -30.2 eV for the cell shown